[1]
{
  "formula": "AlRe2F",
  "functional": "PBE",
  "state": "optimized geometry",
  "formation_energy_uncorrected_ev_per_fu": 2.18,
  "final_energy_ev_per_atom": -7.083,
  "relative_energy_ev_per_atom": 0.0607,
  "vol_a3_per_atom": 13.66,
  "spacegroup": "Fm-3m",
  "cell": [[0.000, 3.012, 3.012], [3.012, 0.000, 3.012], [3.012, 3.012, 0.000]],
  "species": ["Al", "Re", "Re", "F"],
  "frac_coords": [[0.000, 0.000, 0.000], [0.250, 0.250, 0.250], [0.750, 0.750, 0.750], [0.500, 0.500, 0.500]]
}

***

[2]
{
  "formula": "NbCo",
  "functional": "PBE",
  "state": "optimized geometry",
  "final_energy_ev_per_atom": -8.292,
  "formation_energy_ev_per_atom": 0.2962,
  "vol_a3_per_atom": 15.71,
  "spacegroup": "P6_3/m",
  "cell": [[7.285, 0.000, 0.000], [-3.642, 6.309, 0.000], [0.000, 0.000, 4.101]],
  "species": ["Nb", "Nb", "Nb", "Nb", "Nb", "Nb", "Co", "Co", "Co", "Co", "Co", "Co"],
  "frac_coords": [[0.089, 0.651, 0.250], [0.349, 0.437, 0.250], [0.437, 0.089, 0.750], [0.563, 0.911, 0.250], [0.651, 0.563, 0.750], [0.911, 0.349, 0.750], [0.039, 0.822, 0.750], [0.178, 0.218, 0.750], [0.218, 0.039, 0.250], [0.782, 0.961, 0.750], [0.822, 0.782, 0.250], [0.961, 0.178, 0.250]]
}